1.
VASP calculation (PBE-GGA) on a relaxed structure of CdGa6Cu12.

Cell lengths 6.900, 6.900, 6.900 Å; angles 105.47, 105.47, 105.47 degrees
Sites, in units of the cell vectors:
Cd: 0.000 0.000 0.000
Ga: 0.696 0.295 0.295
Ga: 0.295 0.295 0.696
Ga: 0.295 0.696 0.295
Ga: 0.705 0.705 0.304
Ga: 0.304 0.705 0.705
Ga: 0.705 0.304 0.705
Cu: 0.888 0.112 0.500
Cu: 0.889 0.647 0.647
Cu: 0.647 0.647 0.889
Cu: 0.353 0.111 0.353
Cu: 0.353 0.353 0.111
Cu: 0.111 0.353 0.353
Cu: 0.112 0.500 0.888
Cu: 0.500 0.888 0.112
Cu: 0.112 0.888 0.500
Cu: 0.888 0.500 0.112
Cu: 0.500 0.112 0.888
Cu: 0.647 0.889 0.647

calculated volume = 14.96 A^3/atom
E_tot = -3.5121 eV per atom
DOS at the Fermi energy = 6.65 states/eV per cell
crystal system = trigonal

=====

2.
VASP calculation (PBE-GGA) on a relaxed structure of KZn3Sn3.

Cell lengths 7.651, 7.651, 9.276 Å; angles 65.64, 65.64, 60.00 degrees
Sites, in units of the cell vectors:
K: 0.327 0.327 0.019
K: 0.673 0.673 0.981
Zn: 0.505 0.636 0.637
Zn: 0.636 0.222 0.637
Zn: 0.222 0.505 0.637
Zn: 0.778 0.495 0.363
Zn: 0.364 0.778 0.363
Zn: 0.495 0.364 0.363
Sn: 0.079 0.621 0.325
Sn: 0.975 0.079 0.325
Sn: 0.621 0.975 0.325
Sn: 0.379 0.025 0.675
Sn: 0.025 0.921 0.675
Sn: 0.921 0.379 0.675

calculated volume = 29.53 A^3/atom
E_tot = -2.3554 eV per atom
DOS at the Fermi energy = 6.58 states/eV per cell
crystal system = trigonal

=====

3.
VASP calculation (PBE-GGA) on a relaxed structure of Ce3YEr3Te8.

Cell lengths 8.744, 8.744, 8.829 Å; angles 119.68, 90.01, 119.99 degrees
Sites, in units of the cell vectors:
Ce: 0.000 0.000 0.000
Ce: 0.000 0.500 0.000
Ce: 0.500 0.500 0.000
Y: 0.000 0.000 0.500
Er: 0.500 0.000 0.500
Er: 0.500 0.500 0.500
Er: 0.000 0.500 0.500
Te: 0.255 0.509 0.264
Te: 0.745 0.491 0.736
Te: 0.747 0.494 0.257
Te: 0.253 0.506 0.743
Te: 0.747 0.010 0.257
Te: 0.253 0.990 0.743
Te: 0.263 0.010 0.257
Te: 0.737 0.990 0.743

calculated volume = 31.98 A^3/atom
raw formation energy = -1.366 eV/atom
DOS at the Fermi energy = 23.61 states/eV per cell
crystal system = trigonal

=====

4.
VASP calculation (PBE-GGA) on a relaxed structure of TiCo.

Cell lengths 5.301, 5.301, 5.301 Å; angles 90.00, 90.00, 90.00 degrees
Sites, in units of the cell vectors:
Ti: 0.250 0.250 0.250
Ti: 0.250 0.750 0.750
Ti: 0.750 0.250 0.750
Ti: 0.750 0.750 0.250
Co: 0.000 0.000 0.000
Co: 0.000 0.500 0.500
Co: 0.500 0.000 0.500
Co: 0.500 0.500 0.000

calculated volume = 18.62 A^3/atom
E_tot = -6.6119 eV per atom
DOS at the Fermi energy = 16.21 states/eV per cell
crystal system = cubic

=====

5.
VASP calculation (PBE-GGA) on a relaxed structure of TlRe2Rh.

Cell lengths 4.960, 2.860, 4.787 Å; angles 89.17, 90.00, 90.00 degrees
Sites, in units of the cell vectors:
Tl: 0.500 0.500 0.500
Re: 0.000 0.316 0.769
Re: 0.000 0.684 0.231
Rh: 0.500 0.000 0.000

calculated volume = 16.98 A^3/atom
E_tot = -7.9337 eV per atom
DOS at the Fermi energy = 3.92 states/eV per cell
crystal system = monoclinic

=====

6.
VASP calculation (PBE-GGA) on a relaxed structure of SrMg2ZnAg4.

Cell lengths 4.635, 4.635, 9.787 Å; angles 76.30, 76.30, 60.00 degrees
Sites, in units of the cell vectors:
Sr: 0.000 0.000 0.000
Mg: 0.765 0.765 0.705
Mg: 0.235 0.235 0.295
Zn: 0.500 0.500 0.500
Ag: 0.405 0.405 0.784
Ag: 0.867 0.867 0.399
Ag: 0.133 0.133 0.601
Ag: 0.595 0.595 0.216

calculated volume = 21.89 A^3/atom
E_tot = -2.3679 eV per atom
DOS at the Fermi energy = 1.78 states/eV per cell
crystal system = trigonal

=====

7.
VASP calculation (PBE-GGA) on a relaxed structure of Ac2GeBr2.

Cell lengths 8.050, 9.043, 11.535 Å; angles 90.00, 70.01, 90.00 degrees
Sites, in units of the cell vectors:
Ac: 0.753 0.129 0.166
Ac: 0.253 0.371 0.166
Ac: 0.747 0.629 0.834
Ac: 0.247 0.871 0.834
Ac: 0.722 0.377 0.494
Ac: 0.222 0.123 0.494
Ac: 0.778 0.877 0.506
Ac: 0.278 0.623 0.506
Ge: 0.481 0.357 0.334
Ge: 0.519 0.643 0.666
Ge: 0.981 0.143 0.334
Ge: 0.019 0.857 0.666
Br: 0.618 0.293 0.963
Br: 0.118 0.207 0.963
Br: 0.882 0.793 0.037
Br: 0.382 0.707 0.037
Br: 0.008 0.618 0.338
Br: 0.508 0.882 0.338
Br: 0.492 0.118 0.662
Br: 0.992 0.382 0.662

calculated volume = 39.45 A^3/atom
raw formation energy = -1.327 eV/atom
crystal system = monoclinic

=====

8.
VASP calculation (PBE-GGA) on a relaxed structure of CrCuTe4.

Cell lengths 6.549, 6.549, 7.759 Å; angles 90.00, 90.00, 108.12 degrees
Sites, in units of the cell vectors:
Cr: 0.000 0.000 0.000
Cr: 0.000 0.000 0.500
Cu: 0.371 0.629 0.750
Cu: 0.629 0.371 0.250
Te: 0.754 0.246 0.969
Te: 0.246 0.754 0.469
Te: 0.246 0.754 0.031
Te: 0.754 0.246 0.531
Te: 0.218 0.255 0.250
Te: 0.782 0.745 0.750
Te: 0.255 0.218 0.750
Te: 0.745 0.782 0.250

calculated volume = 26.36 A^3/atom
raw formation energy = 0.027 eV/atom
DOS at the Fermi energy = 9.53 states/eV per cell
crystal system = orthorhombic

=====

9.
VASP calculation (PBE-GGA) on a relaxed structure of LaAs3Rh4.

Cell lengths 4.089, 4.089, 8.618 Å; angles 90.00, 90.00, 90.00 degrees
Sites, in units of the cell vectors:
As: 0.000 0.000 0.000
As: 0.500 0.500 0.328
As: 0.500 0.500 0.672
Rh: 0.500 0.000 0.169
Rh: 0.000 0.500 0.169
Rh: 0.500 0.000 0.831
Rh: 0.000 0.500 0.831
La: 0.000 0.000 0.500

calculated volume = 18.02 A^3/atom
E_tot = -6.7809 eV per atom
DOS at the Fermi energy = 4.33 states/eV per cell
crystal system = tetragonal

=====

10.
VASP calculation (PBE-GGA) on a relaxed structure of PaZnSi.

Cell lengths 4.046, 4.086, 4.086 Å; angles 120.00, 90.00, 90.00 degrees
Sites, in units of the cell vectors:
Zn: 0.166 0.667 0.333
Pa: 0.667 0.333 0.667
Si: 0.167 0.000 0.000

calculated volume = 19.49 A^3/atom
raw formation energy = -0.330 eV/atom
DOS at the Fermi energy = 4.13 states/eV per cell
crystal system = hexagonal

=====

11.
VASP calculation (PBE-GGA) on a relaxed structure of SrCaScTe2.

Cell lengths 6.077, 5.556, 6.077 Å; angles 90.00, 90.00, 90.00 degrees
Sites, in units of the cell vectors:
Sc: 0.000 0.500 0.000
Sr: 0.000 0.000 0.000
Ca: 0.500 0.500 0.500
Te: 0.000 0.000 0.500
Te: 0.500 0.000 0.000

calculated volume = 41.03 A^3/atom
raw formation energy = 0.115 eV/atom
DOS at the Fermi energy = 5.50 states/eV per cell
crystal system = tetragonal

=====

12.
VASP calculation (PBE-GGA) on a relaxed structure of Na4SrAc.

Cell lengths 6.993, 6.993, 6.993 Å; angles 60.00, 60.00, 60.00 degrees
Sites, in units of the cell vectors:
Sr: 0.250 0.250 0.250
Ac: 0.000 0.000 0.000
Na: 0.625 0.625 0.124
Na: 0.625 0.124 0.625
Na: 0.625 0.625 0.625
Na: 0.124 0.625 0.625

calculated volume = 40.31 A^3/atom
E_tot = -1.7330 eV per atom
DOS at the Fermi energy = 5.59 states/eV per cell
crystal system = cubic

=====

13.
VASP calculation (PBE-GGA) on a relaxed structure of ThSn2Os.

Cell lengths 5.182, 5.182, 4.932 Å; angles 58.31, 58.31, 60.00 degrees
Sites, in units of the cell vectors:
Os: 0.000 0.000 0.000
Sn: 0.241 0.241 0.276
Sn: 0.759 0.759 0.724
Th: 0.500 0.500 0.500

calculated volume = 22.79 A^3/atom
E_tot = -6.5272 eV per atom
DOS at the Fermi energy = 2.83 states/eV per cell
crystal system = trigonal

=====

14.
VASP calculation (PBE-GGA) on a relaxed structure of HfPdCl3.

Cell lengths 4.875, 4.875, 4.875 Å; angles 90.00, 90.00, 90.00 degrees
Sites, in units of the cell vectors:
Hf: 0.500 0.500 0.500
Pd: 0.000 0.000 0.000
Cl: 0.000 0.500 0.000
Cl: 0.000 0.000 0.500
Cl: 0.500 0.000 0.000

calculated volume = 23.17 A^3/atom
raw formation energy = 0.208 eV/atom
DOS at the Fermi energy = 6.41 states/eV per cell
crystal system = cubic

=====

15.
VASP calculation (PBE-GGA) on a relaxed structure of GaSbMo2.

Cell lengths 4.032, 4.032, 9.910 Å; angles 78.26, 78.26, 90.00 degrees
Sites, in units of the cell vectors:
Sb: 0.000 0.000 0.000
Sb: 0.750 0.250 0.500
Mo: 0.565 0.125 0.250
Mo: 0.185 0.625 0.250
Mo: 0.375 0.435 0.750
Mo: 0.875 0.815 0.750
Ga: 0.500 0.500 0.000
Ga: 0.250 0.750 0.500

calculated volume = 19.29 A^3/atom
raw formation energy = 0.445 eV/atom
DOS at the Fermi energy = 5.64 states/eV per cell
crystal system = tetragonal

=====

16.
VASP calculation (PBE-GGA) on a relaxed structure of La4CrIr.

Cell lengths 6.202, 6.202, 6.202 Å; angles 60.00, 60.00, 60.00 degrees
Sites, in units of the cell vectors:
La: 0.878 0.374 0.374
La: 0.374 0.374 0.878
La: 0.374 0.878 0.374
La: 0.374 0.374 0.374
Cr: 0.750 0.750 0.750
Ir: 0.000 0.000 0.000

calculated volume = 28.12 A^3/atom
E_tot = -5.5507 eV per atom
DOS at the Fermi energy = 8.84 states/eV per cell
crystal system = cubic

=====

17.
VASP calculation (PBE-GGA) on a relaxed structure of CaHoIrPd.

Cell lengths 3.404, 3.404, 7.201 Å; angles 90.00, 90.00, 90.00 degrees
Sites, in units of the cell vectors:
Ca: 0.000 0.000 0.864
Ho: 0.000 0.000 0.348
Ir: 0.500 0.500 0.126
Pd: 0.500 0.500 0.589

calculated volume = 20.85 A^3/atom
E_tot = -5.8604 eV per atom
DOS at the Fermi energy = 2.18 states/eV per cell
crystal system = tetragonal

=====

18.
VASP calculation (PBE-GGA) on a relaxed structure of ErTh5Sc6.

Cell lengths 5.785, 6.998, 8.374 Å; angles 90.00, 86.13, 90.00 degrees
Sites, in units of the cell vectors:
Sc: 0.833 0.750 0.335
Sc: 0.833 0.250 0.335
Sc: 0.500 0.253 0.000
Sc: 0.500 0.747 0.000
Sc: 0.167 0.750 0.665
Sc: 0.167 0.250 0.665
Th: 0.666 0.500 0.667
Th: 0.335 0.000 0.332
Th: 0.000 0.500 0.000
Th: 0.665 0.000 0.668
Th: 0.334 0.500 0.333
Er: 0.000 0.000 0.000

calculated volume = 28.19 A^3/atom
E_tot = -6.6121 eV per atom
DOS at the Fermi energy = 14.65 states/eV per cell
crystal system = monoclinic

=====

19.
VASP calculation (PBE-GGA) on a relaxed structure of Sc2PPbF.

Cell lengths 4.319, 5.311, 4.319 Å; angles 90.00, 90.00, 90.00 degrees
Sites, in units of the cell vectors:
Pb: 0.500 0.500 0.500
Sc: 0.000 0.000 0.500
Sc: 0.500 0.000 0.000
F: 0.000 0.000 0.000
P: 0.000 0.500 0.000

calculated volume = 19.81 A^3/atom
raw formation energy = -0.834 eV/atom
DOS at the Fermi energy = 4.22 states/eV per cell
crystal system = tetragonal

=====

20.
VASP calculation (PBE-GGA) on a relaxed structure of Pr2SmRh.

Cell lengths 3.645, 3.645, 8.835 Å; angles 90.00, 90.00, 90.00 degrees
Sites, in units of the cell vectors:
Pr: 0.000 0.000 0.809
Pr: 0.000 0.000 0.191
Rh: 0.500 0.500 0.000
Sm: 0.500 0.500 0.500

calculated volume = 29.34 A^3/atom
E_tot = -5.6594 eV per atom
DOS at the Fermi energy = 4.96 states/eV per cell
crystal system = tetragonal

=====

Listing magnetic moment for the structures above in their given order: 0.00, 0.00, 3.94, 0.89, 0.00, 0.00, 0.00, 3.81, 0.00, 0.40, 1.74, 0.00, 0.00, 2.04, 0.00, 3.31, 0.00, 0.00, 0.00, 0.00 Bohr magnetons per cell.